[1]
A plane-wave DFT calculation with PBE was carried out for a geometry-optimized LiTcOs2 structure.

Structure (POSCAR):
```
LiTcOs2
1.0
-1.426 2.210 4.318
1.426 -2.210 4.318
1.426 2.210 -4.318
Li Tc Os
1 1 2
Direct
0.000 0.000 0.000
0.500 0.500 0.000
0.245 0.745 0.500
0.755 0.255 0.500
```

Properties
* offset from the most stable computed form: 121 meV per atom
* SG: No. 71

***

[2]
A plane-wave DFT calculation with PBE was carried out for a geometry-optimized LiTcOs2 structure.

Structure (POSCAR):
```
LiTcOs2
1.0
-1.891 1.891 3.834
1.891 -1.891 3.834
1.891 1.891 -3.834
Li Tc Os
1 1 2
Direct
0.000 0.000 0.000
0.750 0.250 0.500
0.250 0.750 0.500
0.500 0.500 0.000
```

Properties
* offset from the most stable computed form: 201 meV per atom
* SG: No. 119

***

[3]
A plane-wave DFT calculation with PBE was carried out for a geometry-optimized LiTcOs2 structure.

Structure (POSCAR):
```
LiTcOs2
1.0
2.725 0.000 0.000
0.000 3.875 0.000
0.000 0.000 5.202
Li Tc Os
1 1 2
Direct
0.000 0.000 0.000
0.000 0.000 0.500
0.500 0.500 0.235
0.500 0.500 0.765
```

Properties
* offset from the most stable computed form: 102 meV per atom
* SG: No. 47

***

[4]
A plane-wave DFT calculation with PBE was carried out for a geometry-optimized LiTcOs2 structure.

Structure (POSCAR):
```
LiTcOs2
1.0
4.514 -1.335 0.000
4.514 1.335 0.000
-0.622 0.000 4.648
Li Tc Os
1 1 2
Direct
0.000 0.000 0.000
0.237 0.237 0.751
0.496 0.496 0.496
0.761 0.761 0.253
```

Properties
* offset from the most stable computed form: 114 meV per atom
* SG: No. 8

***

[5]
A plane-wave DFT calculation with PBE was carried out for a geometry-optimized LiTc2Os2 structure.

Structure (POSCAR):
```
LiTc2Os2
1.0
7.657 0.000 0.000
0.000 7.657 0.000
0.000 0.000 2.701
Li Tc Os
2 4 4
Direct
0.000 0.000 0.000
0.500 0.500 0.000
0.123 0.377 0.000
0.377 0.877 0.000
0.623 0.123 0.000
0.877 0.623 0.000
0.167 0.667 0.500
0.333 0.167 0.500
0.667 0.833 0.500
0.833 0.333 0.500
```

Properties
* offset from the most stable computed form: 28 meV per atom
* SG: No. 127

***

[6]
A plane-wave DFT calculation with PBE was carried out for a geometry-optimized LiTcOs2 structure.

Structure (POSCAR):
```
LiTcOs2
1.0
-1.481 2.145 4.243
1.481 -2.145 4.243
1.481 2.145 -4.243
Li Tc Os
1 1 2
Direct
0.000 0.000 0.000
0.755 0.255 0.500
0.243 0.743 0.500
0.500 0.500 0.000
```

Properties
* offset from the most stable computed form: 122 meV per atom
* SG: No. 44

***

[7]
A plane-wave DFT calculation with PBE was carried out for a geometry-optimized LiTcOs2 structure.

Structure (POSCAR):
```
LiTcOs2
1.0
4.386 -1.341 0.000
4.386 1.341 0.000
-0.569 0.000 4.729
Li Tc Os
1 1 2
Direct
0.000 0.000 0.000
0.500 0.500 0.500
0.242 0.242 0.759
0.758 0.758 0.241
```

Properties
* offset from the most stable computed form: 109 meV per atom
* SG: No. 12

***

[8]
A plane-wave DFT calculation with PBE was carried out for a geometry-optimized LiTcOs3 structure.

Structure (POSCAR):
```
LiTcOs3
1.0
4.688 0.000 0.000
0.000 4.688 0.000
0.000 0.000 4.688
Li Tc Os
1 1 3
Direct
0.000 0.000 0.000
0.500 0.500 0.500
0.000 0.500 0.500
0.500 0.000 0.500
0.500 0.500 0.000
```

Properties
* SG: No. 221

***

[9]
A plane-wave DFT calculation with PBE was carried out for a geometry-optimized LiTcOs structure.

Structure (POSCAR):
```
LiTcOs
1.0
-1.353 2.001 3.740
1.353 -2.001 3.740
1.353 2.001 -3.740
Li Tc Os
1 1 1
Direct
0.000 0.000 0.000
0.330 0.330 0.000
0.666 0.666 0.000
```

Properties
* offset from the most stable computed form: 49 meV per atom
* SG: No. 44

***

[10]
A plane-wave DFT calculation with PBE was carried out for a geometry-optimized LiTcOs2 structure.

Structure (POSCAR):
```
LiTcOs2
1.0
2.606 -3.974 0.000
2.606 3.974 0.000
0.000 0.000 2.702
Li Tc Os
1 1 2
Direct
0.000 0.000 0.000
0.500 0.500 0.000
0.000 0.500 0.500
0.500 0.000 0.500
```

Properties
* offset from the most stable computed form: 254 meV per atom
* SG: No. 65

***

[11]
A plane-wave DFT calculation with PBE was carried out for a geometry-optimized LiTcOs2 structure.

Structure (POSCAR):
```
LiTcOs2
1.0
1.360 0.785 9.006
-1.360 0.785 9.006
0.000 -1.571 9.006
Li Tc Os
1 1 2
Direct
0.000 0.000 0.000
0.500 0.500 0.500
0.247 0.247 0.247
0.753 0.753 0.753
```

Properties
* offset from the most stable computed form: 0 meV per atom
* SG: No. 166

***

[12]
A plane-wave DFT calculation with PBE was carried out for a geometry-optimized LiTcOs2 structure.

Structure (POSCAR):
```
LiTcOs2
1.0
3.829 0.000 0.000
0.000 3.829 0.000
0.000 0.000 3.751
Li Tc Os
1 1 2
Direct
0.000 0.000 0.000
0.500 0.500 0.000
0.000 0.500 0.500
0.500 0.000 0.500
```

Properties
* offset from the most stable computed form: 309 meV per atom
* SG: No. 123

***

[13]
A plane-wave DFT calculation with PBE was carried out for a geometry-optimized LiTcOs2 structure.

Structure (POSCAR):
```
LiTcOs2
1.0
2.921 0.000 0.000
0.000 2.921 0.000
0.000 0.000 6.184
Li Tc Os
1 1 2
Direct
0.000 0.000 0.000
0.500 0.500 0.772
0.000 0.000 0.498
0.500 0.500 0.221
```

Properties
* offset from the most stable computed form: 221 meV per atom
* SG: No. 99

***

[14]
A plane-wave DFT calculation with PBE was carried out for a geometry-optimized LiTcOs2 structure.

Structure (POSCAR):
```
LiTcOs2
1.0
0.000 3.010 3.010
3.010 0.000 3.010
3.010 3.010 0.000
Li Tc Os
1 1 2
Direct
0.000 0.000 0.000
0.500 0.500 0.500
0.250 0.250 0.250
0.750 0.750 0.750
```

Properties
* offset from the most stable computed form: 99 meV per atom
* SG: No. 225

***

[15]
A plane-wave DFT calculation with PBE was carried out for a geometry-optimized LiTcOs structure.

Structure (POSCAR):
```
LiTcOs
1.0
4.263 0.000 0.000
-2.132 3.692 0.000
0.000 0.000 2.601
Li Tc Os
1 1 1
Direct
0.000 0.000 0.000
0.333 0.667 0.643
0.667 0.333 0.363
```

Properties
* offset from the most stable computed form: 0 meV per atom
* SG: No. 156

***

[16]
A plane-wave DFT calculation with PBE was carried out for a geometry-optimized LiTcOs2 structure.

Structure (POSCAR):
```
LiTcOs2
1.0
0.000 3.014 3.014
3.014 0.000 3.014
3.014 3.014 0.000
Li Tc Os
1 1 2
Direct
0.000 0.000 0.000
0.250 0.250 0.250
0.500 0.500 0.500
0.750 0.750 0.750
```

Properties
* offset from the most stable computed form: 124 meV per atom
* SG: No. 216

***

[17]
A plane-wave DFT calculation with PBE was carried out for a geometry-optimized LiTcOs structure.

Structure (POSCAR):
```
LiTcOs
1.0
0.000 2.887 2.887
2.887 0.000 2.887
2.887 2.887 0.000
Li Tc Os
1 1 1
Direct
0.000 0.000 0.000
0.500 0.500 0.500
0.750 0.750 0.750
```

Properties
* offset from the most stable computed form: 386 meV per atom
* SG: No. 216

***

[18]
A plane-wave DFT calculation with PBE was carried out for a geometry-optimized LiTcOs2 structure.

Structure (POSCAR):
```
LiTcOs2
1.0
2.779 0.000 0.000
0.000 4.449 0.000
0.000 0.000 4.497
Li Tc Os
1 1 2
Direct
0.000 0.000 0.000
0.500 0.000 0.500
0.000 0.500 0.500
0.500 0.500 0.000
```

Properties
* offset from the most stable computed form: 248 meV per atom
* SG: No. 47

***

[19]
A plane-wave DFT calculation with PBE was carried out for a geometry-optimized LiTcOs2 structure.

Structure (POSCAR):
```
LiTcOs2
1.0
1.394 -2.272 0.000
1.394 2.272 0.000
0.000 0.000 9.146
Li Tc Os
1 1 2
Direct
0.000 0.000 0.000
0.000 0.000 0.500
0.500 0.500 0.253
0.500 0.500 0.747
```

Properties
* offset from the most stable computed form: 208 meV per atom
* SG: No. 65

***

[20]
A plane-wave DFT calculation with PBE was carried out for a geometry-optimized LiTc2Os2 structure.

Structure (POSCAR):
```
LiTc2Os2
1.0
7.610 0.000 0.000
0.000 7.610 0.000
0.000 0.000 2.728
Li Tc Os
2 4 4
Direct
0.000 0.000 0.000
0.500 0.500 0.000
0.166 0.334 0.500
0.334 0.834 0.500
0.666 0.166 0.500
0.834 0.666 0.500
0.124 0.624 0.000
0.376 0.124 0.000
0.624 0.876 0.000
0.876 0.376 0.000
```

Properties
* offset from the most stable computed form: 0 meV per atom
* SG: No. 127

***

Going through the records in order, we get formation enthalpy at 0 K values of 258; 338; 239; 251; 218; 259; 246; 1982; 202; 391; 137; 446; 358; 236; 152; 261; 538; 386; 345; 190 meV/atom.